# 1
Tb3Ag2Ir (PBE, relaxed); formation enthalpy at 0 K = -359 meV per atom; offset from the most stable computed form = 145.4 meV/atom; space-group type = No. 15; electronic total energy = -5.102 eV per atom; Fermi-level density of states = 8.23 states/eV per cell
1.0
6.968 -2.904 0.000
6.968 2.904 0.000
-2.341 0.000 7.753
Tb Ag Ir
6 4 2
Cartesian
5.212 2.899 5.815
2.845 0.011 7.216
4.015 -0.011 3.339
7.580 0.011 4.414
8.751 -0.011 0.538
6.383 -2.899 1.938
1.161 0.012 4.587
2.331 -0.012 0.710
9.264 0.012 7.043
10.435 -0.012 3.167
6.383 0.005 1.938
5.212 -0.005 5.815



# 2
Dy2LuPb (PBE, relaxed); formation enthalpy at 0 K = 43 meV per atom; offset from the most stable computed form = 301.3 meV/atom; space-group type = No. 166; electronic total energy = -4.315 eV per atom; Fermi-level density of states = 4.04 states/eV per cell
1.0
1.756 1.014 11.930
-1.756 1.014 11.930
0.000 -2.027 11.930
Dy Lu Pb
2 1 1
Cartesian
0.000 0.000 3.179
0.000 0.000 32.611
0.000 0.000 17.895
0.000 0.000 0.000



# 3
La2RuCl (PBE, relaxed); offset from the most stable computed form = 150.4 meV/atom; space-group type = No. 38; electronic total energy = -6.103 eV per atom; formation energy (no corrections) = -0.86 eV per atom; Fermi-level density of states = 1.95 states/eV per cell
1.0
4.633 0.000 0.000
0.000 1.902 5.809
0.000 -1.902 5.809
La Ru Cl
2 1 1
Cartesian
0.000 0.000 0.000
2.316 0.000 3.122
0.000 0.000 9.227
2.316 0.000 6.137



# 4
UHS (PBE, relaxed); space-group type = No. 12; electronic total energy = -6.925 eV per atom; Fermi-level density of states = 7.17 states/eV per cell
1.0
4.843 -1.876 0.000
4.843 1.876 0.000
-1.387 0.000 5.202
U H S
2 2 2
Cartesian
0.753 0.000 0.938
7.546 0.000 4.265
4.332 0.000 0.682
3.967 0.000 4.520
0.757 0.000 3.679
7.542 0.000 1.523